VASP calculation (GGA-PBE) on a relaxed PdBrNF2 crystal.

As for the theoretical density: 5.5 Mg/m³. For the energy relative to the lowest polymorph listed for this composition, the calculation gives 0 meV per atom. For the spin magnetization, the calculation gives 0.588 μB/f.u. The calculation puts the volume at 72 Å³/cell. The value obtained for the uncorrected formation energy is 1.199 eV/f.u.

```
PdBrNF2
1.0
4.299 0.000 0.000
0.000 4.299 0.000
0.000 0.000 3.871
F Br Pd N
2 1 1 1
Direct
0.000 0.500 0.000
0.500 0.000 0.000
0.500 0.500 0.500
0.000 0.000 0.000
0.000 0.000 0.500
```

VASP calculation (GGA-PBE) on a relaxed PdBrNF2 crystal.

As for the theoretical density: 4.9 Mg/m³. For the energy relative to the lowest polymorph listed for this composition, the calculation gives 559 meV per atom. For the spin magnetization, the calculation gives 0.890 μB/f.u. The calculation puts the volume at 80 Å³/cell. The value obtained for the uncorrected formation energy is 3.996 eV/f.u.

```
PdBrNF2
1.0
-0.807 -4.617 -0.164
0.687 0.045 -4.639
3.556 -0.640 0.520
Br N Pd F
1 1 1 2
Direct
0.000 0.000 0.000
0.000 0.000 0.500
0.500 0.500 0.500
0.000 0.500 0.000
0.500 0.000 0.000
```

VASP calculation (GGA-PBE) on a relaxed PtBrN2F crystal.

As for the theoretical density: 7.9 Mg/m³. For the energy relative to the lowest polymorph listed for this composition, the calculation gives 1100 meV per atom. For the spin magnetization, the calculation gives 0.000 μB/f.u. The calculation puts the volume at 68 Å³/cell. The value obtained for the uncorrected formation energy is 10.691 eV/f.u.

```
PtBrN2F
1.0
4.141 0.000 0.000
0.000 4.141 0.000
0.000 0.000 3.938
Pt F Br N
1 1 1 2
Direct
0.500 0.500 0.500
0.000 0.000 0.500
0.000 0.000 0.000
0.000 0.500 0.000
0.500 0.000 0.000
```

Which total energy belongs to each record? In order, -17.73 -14.94 -15.55 eV for the cell shown.